Record 1
# B2BrCl, relaxed, DFT PBE
# E above lowest polymorph ... 0.0 kJ per mole of atoms
# Crystal system ... tetragonal
# Spin magnetization ... 0.00 μB/cell
# Formation energy from raw total energies ... 1.66 eV per atom
data_B2BrCl
_chemical_formula_sum 'B4 Br2 Cl2'
_symmetry_space_group_name_H-M 'P 1'
_symmetry_Int_Tables_number 1
_symmetry_space_group_name_Hall 'P 1'
_cell_length_a 6.0145
_cell_length_b 6.0145
_cell_length_c 7.2380
_cell_angle_alpha 65.45
_cell_angle_beta 65.45
_cell_angle_gamma 90.00
loop_
_atom_site_label
_atom_site_fract_x
_atom_site_fract_y
_atom_site_fract_z
B1 0.3750 0.3891 0.7500
B2 0.1391 0.6250 0.2500
B3 0.6109 0.1250 0.2500
B4 0.8750 0.8609 0.7500
Cl1 0.2500 0.7500 0.5000
Cl2 0.5000 0.5000 0.0000
Br1 0.0000 0.0000 0.0000
Br2 0.7500 0.2500 0.5000

***

Record 2
# BaNaPdF6, relaxed, DFT PBE
# Crystal system ... triclinic
# Spin magnetization ... 1.00 μB/cell
# Formation energy from raw total energies ... -2.49 eV per atom
data_BaNaPdF6
_chemical_formula_sum 'Ba1 Na1 Pd1 F6'
_symmetry_space_group_name_H-M 'P 1'
_symmetry_Int_Tables_number 1
_symmetry_space_group_name_Hall 'P 1'
_cell_length_a 5.8754
_cell_length_b 5.6808
_cell_length_c 5.6157
_cell_angle_alpha 89.37
_cell_angle_beta 88.69
_cell_angle_gamma 58.63
loop_
_atom_site_label
_atom_site_fract_x
_atom_site_fract_y
_atom_site_fract_z
F1 0.6262 0.0353 0.3001
F2 0.3452 0.6199 0.3010
F3 0.3411 0.0359 0.7010
F4 0.0254 0.3508 0.2663
F5 0.0324 0.6202 0.6988
F6 0.6204 0.3562 0.7352
Ba1 0.0004 0.9996 0.9985
Na1 0.6745 0.6498 0.4988
Pd1 0.3340 0.3322 0.5002

***

Record 3
# Mg6AlBO8, relaxed, DFT PBE
# E above lowest polymorph ... 4.3 kJ per mole of atoms
# Crystal system ... tetragonal
# Spin magnetization ... 0.00 μB/cell
# Formation energy from raw total energies ... -2.17 eV per atom
data_Mg6AlBO8
_chemical_formula_sum 'Mg6 Al1 B1 O8'
_symmetry_space_group_name_H-M 'P 1'
_symmetry_Int_Tables_number 1
_symmetry_space_group_name_Hall 'P 1'
_cell_length_a 4.2074
_cell_length_b 4.2074
_cell_length_c 8.6768
_cell_angle_alpha 90.00
_cell_angle_beta 90.00
_cell_angle_gamma 90.00
loop_
_atom_site_label
_atom_site_fract_x
_atom_site_fract_y
_atom_site_fract_z
O1 0.0000 0.0000 0.7790
O2 0.5000 0.5000 0.2669
O3 0.0000 0.5000 0.0000
O4 0.0000 0.0000 0.2210
O5 0.5000 0.0000 0.5000
O6 0.5000 0.5000 0.7331
O7 0.5000 0.0000 0.0000
O8 0.0000 0.5000 0.5000
Mg1 0.5000 0.5000 0.5000
Mg2 0.0000 0.0000 0.5000
Mg3 0.0000 0.5000 0.7575
Mg4 0.5000 0.0000 0.7575
Mg5 0.5000 0.0000 0.2425
Mg6 0.0000 0.5000 0.2425
B1 0.5000 0.5000 0.0000
Al1 0.0000 0.0000 0.0000

***

Record 4
# Nd8FeNi3Br4, relaxed, DFT PBE
# Crystal system ... trigonal
# Spin magnetization ... 0.00 μB/cell
# Formation energy from raw total energies ... -0.75 eV per atom
data_Nd8FeNi3Br4
_chemical_formula_sum 'Nd8 Fe1 Ni3 Br4'
_symmetry_space_group_name_H-M 'P 1'
_symmetry_Int_Tables_number 1
_symmetry_space_group_name_Hall 'P 1'
_cell_length_a 8.0926
_cell_length_b 9.0639
_cell_length_c 8.0902
_cell_angle_alpha 116.49
_cell_angle_beta 120.01
_cell_angle_gamma 90.00
loop_
_atom_site_label
_atom_site_fract_x
_atom_site_fract_y
_atom_site_fract_z
Fe1 0.0000 0.5000 0.0000
Br1 0.5000 0.0000 0.5000
Br2 0.0000 0.0000 0.5000
Br3 0.0000 0.0000 0.0000
Br4 0.5000 0.0000 0.0000
Nd1 0.7398 0.6945 0.9671
Nd2 0.2691 0.3073 0.5383
Nd3 0.2274 0.6946 0.4548
Nd4 0.7727 0.3055 0.0329
Nd5 0.7309 0.6927 0.4617
Nd6 0.2273 0.6945 0.9671
Nd7 0.2602 0.3055 0.0329
Nd8 0.7726 0.3054 0.5452
Ni1 0.5000 0.5000 0.5000
Ni2 0.5000 0.5000 0.0000
Ni3 0.0000 0.5000 0.5000

***

Record 5
# SrZn2Br, relaxed, DFT PBE
# E above lowest polymorph ... 41.8 kJ per mole of atoms
# Crystal system ... trigonal
# Spin magnetization ... 0.00 μB/cell
# Formation energy from raw total energies ... -0.19 eV per atom
data_SrZn2Br
_chemical_formula_sum 'Sr1 Zn2 Br1'
_symmetry_space_group_name_H-M 'P 1'
_symmetry_Int_Tables_number 1
_symmetry_space_group_name_Hall 'P 1'
_cell_length_a 8.6153
_cell_length_b 8.6153
_cell_length_c 8.6153
_cell_angle_alpha 27.50
_cell_angle_beta 27.50
_cell_angle_gamma 27.50
loop_
_atom_site_label
_atom_site_fract_x
_atom_site_fract_y
_atom_site_fract_z
Zn1 0.9915 0.9915 0.9915
Zn2 0.5085 0.5085 0.5085
Br1 0.2500 0.2500 0.2500
Sr1 0.7500 0.7500 0.7500

***

Record 6
# CeTh2SnC, relaxed, DFT PBE
# Crystal system ... tetragonal
# Spin magnetization ... 0.52 μB/cell
# Energy of formation ... -0.424 eV/atom
data_CeTh2SnC
_chemical_formula_sum 'Ce1 Th2 Sn1 C1'
_symmetry_space_group_name_H-M 'P 1'
_symmetry_Int_Tables_number 1
_symmetry_space_group_name_Hall 'P 1'
_cell_length_a 4.9897
_cell_length_b 5.0620
_cell_length_c 5.0620
_cell_angle_alpha 90.00
_cell_angle_beta 90.00
_cell_angle_gamma 90.00
loop_
_atom_site_label
_atom_site_fract_x
_atom_site_fract_y
_atom_site_fract_z
Sn1 0.5000 0.5000 0.5000
Ce1 0.5000 0.0000 0.0000
C1 0.0000 0.0000 0.0000
Th1 0.0000 0.0000 0.5000
Th2 0.0000 0.5000 0.0000

***

Record 7
# DyTmGeIr, relaxed, DFT PBE
# E above lowest polymorph ... 0.0 kJ per mole of atoms
# Crystal system ... orthorhombic
# Spin magnetization ... 0.00 μB/cell
# Energy of formation ... -0.870 eV/atom
data_DyTmGeIr
_chemical_formula_sum 'Dy1 Tm1 Ge1 Ir1'
_symmetry_space_group_name_H-M 'P 1'
_symmetry_Int_Tables_number 1
_symmetry_space_group_name_Hall 'P 1'
_cell_length_a 4.0615
_cell_length_b 4.0836
_cell_length_c 5.6612
_cell_angle_alpha 90.00
_cell_angle_beta 111.02
_cell_angle_gamma 90.00
loop_
_atom_site_label
_atom_site_fract_x
_atom_site_fract_y
_atom_site_fract_z
Ge1 0.4239 0.0000 0.8478
Ir1 0.5796 0.5000 0.1593
Tm1 0.8577 0.5000 0.7154
Dy1 0.1388 0.0000 0.2776

***

Record 8
# La2TcNi, relaxed, DFT PBE
# Crystal system ... orthorhombic
# Spin magnetization ... 0.00 μB/cell
# Energy of formation ... 0.065 eV/atom
data_La2TcNi
_chemical_formula_sum 'La2 Tc1 Ni1'
_symmetry_space_group_name_H-M 'P 1'
_symmetry_Int_Tables_number 1
_symmetry_space_group_name_Hall 'P 1'
_cell_length_a 6.3854
_cell_length_b 6.3854
_cell_length_c 6.3854
_cell_angle_alpha 147.97
_cell_angle_beta 137.99
_cell_angle_gamma 53.78
loop_
_atom_site_label
_atom_site_fract_x
_atom_site_fract_y
_atom_site_fract_z
Tc1 0.2977 0.7977 0.5000
La1 0.7334 0.2334 0.5000
La2 0.0205 0.0205 0.0000
Ni1 0.4484 0.4484 0.0000

***

Record 9
# TaMo2Ir, relaxed, DFT PBE
# E above lowest polymorph ... 3.9 kJ per mole of atoms
# Crystal system ... orthorhombic
# Spin magnetization ... 0.00 μB/cell
# Energy of formation ... -0.113 eV/atom
data_TaMo2Ir
_chemical_formula_sum 'Ta1 Mo2 Ir1'
_symmetry_space_group_name_H-M 'P 1'
_symmetry_Int_Tables_number 1
_symmetry_space_group_name_Hall 'P 1'
_cell_length_a 5.1853
_cell_length_b 5.1853
_cell_length_c 5.1853
_cell_angle_alpha 143.26
_cell_angle_beta 128.48
_cell_angle_gamma 64.94
loop_
_atom_site_label
_atom_site_fract_x
_atom_site_fract_y
_atom_site_fract_z
Mo1 0.9907 0.9907 0.0000
Mo2 0.7533 0.2533 0.5000
Ta1 0.5055 0.5055 0.0000
Ir1 0.2505 0.7505 0.5000

***

Record 10
# DyCd3Rh4, relaxed, DFT PBE
# Crystal system ... trigonal
# Spin magnetization ... 0.00 μB/cell
# Energy of formation ... -0.332 eV/atom
data_DyCd3Rh4
_chemical_formula_sum 'Dy1 Cd3 Rh4'
_symmetry_space_group_name_H-M 'P 1'
_symmetry_Int_Tables_number 1
_symmetry_space_group_name_Hall 'P 1'
_cell_length_a 4.6265
_cell_length_b 4.6265
_cell_length_c 8.0103
_cell_angle_alpha 73.22
_cell_angle_beta 73.22
_cell_angle_gamma 60.00
loop_
_atom_site_label
_atom_site_fract_x
_atom_site_fract_y
_atom_site_fract_z
Rh1 0.3763 0.3763 0.8711
Rh2 0.1255 0.1255 0.6235
Rh3 0.8745 0.8745 0.3765
Rh4 0.6237 0.6237 0.1289
Dy1 0.0000 0.0000 0.0000
Cd1 0.7511 0.7511 0.7467
Cd2 0.5000 0.5000 0.5000
Cd3 0.2489 0.2489 0.2533

***

Record 11
# La2HoSn3Ir4, relaxed, DFT PBE
# Crystal system ... tetragonal
# Spin magnetization ... 0.00 μB/cell
# Energy of formation ... -0.669 eV/atom
data_La2HoSn3Ir4
_chemical_formula_sum 'La2 Ho1 Sn3 Ir4'
_symmetry_space_group_name_H-M 'P 1'
_symmetry_Int_Tables_number 1
_symmetry_space_group_name_Hall 'P 1'
_cell_length_a 4.4225
_cell_length_b 4.4225
_cell_length_c 11.6277
_cell_angle_alpha 90.00
_cell_angle_beta 90.00
_cell_angle_gamma 90.00
loop_
_atom_site_label
_atom_site_fract_x
_atom_site_fract_y
_atom_site_fract_z
Sn1 0.0000 0.0000 0.5000
Sn2 0.5000 0.0000 0.8741
Sn3 0.0000 0.5000 0.1259
La1 0.0000 0.5000 0.7641
La2 0.5000 0.0000 0.2359
Ho1 0.5000 0.5000 0.5000
Ir1 0.0000 0.5000 0.3523
Ir2 0.5000 0.0000 0.6477
Ir3 0.0000 0.0000 0.0000
Ir4 0.5000 0.5000 0.0000

***

Record 12
# GaHCl2F, relaxed, DFT PBE
# Total DFT energy (no corrections) ... -11.3 eV/cell
# Crystal system ... tetragonal
# Spin magnetization ... 0.68 μB/cell
data_GaHCl2F
_chemical_formula_sum 'Ga1 H1 Cl2 F1'
_symmetry_space_group_name_H-M 'P 1'
_symmetry_Int_Tables_number 1
_symmetry_space_group_name_Hall 'P 1'
_cell_length_a 5.5123
_cell_length_b 3.6903
_cell_length_c 5.5123
_cell_angle_alpha 90.00
_cell_angle_beta 90.00
_cell_angle_gamma 90.00
loop_
_atom_site_label
_atom_site_fract_x
_atom_site_fract_y
_atom_site_fract_z
Ga1 0.0000 0.5000 0.0000
Cl1 0.0000 0.0000 0.5000
Cl2 0.5000 0.0000 0.0000
H1 0.5000 0.5000 0.5000
F1 0.0000 0.0000 0.0000